(1)
Below is an optimized crystal structure of Tb6Sb2Te, with properties calculated at the PBE level.

Cell: 6.5686 8.1798 12.0058 Å, 90.00 122.35 90.00°
Space group P2_1/c (No. 14)
Symmetry-distinct sites (fractional):
Tb 0.0665 0.1941 0.4436 (multiplicity 4)
Tb 0.3022 0.6597 0.4434 (multiplicity 4)
Tb 0.3653 0.0326 0.2208 (multiplicity 4)
Sb 0.1660 0.1235 0.7436 (multiplicity 4)
Te 0.5000 0.0000 0.5000 (multiplicity 2)

Calculated values
total energy	-5.093	eV per atom
E_form (uncorrected)	-6.7	eV/f.u.



(2)
Below is an optimized crystal structure of EuHo2Ru, with properties calculated at the PBE level.

Cell: 3.4307 3.4307 9.4346 Å, 90.00 90.00 90.00°
Space group P4/mmm (No. 123)
Symmetry-distinct sites (fractional):
Eu 0.0000 0.0000 0.0000 (multiplicity 1)
Ho 0.5000 0.5000 0.3274 (multiplicity 2)
Ru 0.0000 0.0000 0.5000 (multiplicity 1)

Calculated values
total energy	-7.413	eV per atom
E above lowest polymorph	0.0	meV/atom
energy of formation from the pure elements	-0.24	eV per atom



(3)
Below is an optimized crystal structure of ZnReHI, with properties calculated at the PBE level.

Cell: 3.3702 3.8891 9.9020 Å, 90.00 90.00 90.00°
Space group Amm2 (No. 38)
Symmetry-distinct sites (fractional):
Zn 0.0000 0.0000 0.0000 (multiplicity 2)
Re 0.5000 0.0000 0.5633 (multiplicity 2)
H 0.0000 0.0000 0.6344 (multiplicity 2)
I 0.5000 0.0000 0.2821 (multiplicity 2)

Calculated values
total energy	-4.105	eV per atom
E above lowest polymorph	70.0	meV/atom